Entry 1:
## Tb5Ho4Sc2 (PBE)

Data for a geometry-optimized Tb5Ho4Sc2 structure.

The calculation puts the energy above the most stable polymorph in this dataset at 166 meV/atom. Its crystal system is orthorhombic. For the calculated density, the calculation gives 7.34 g cm⁻³. For the uncorrected energy, the calculation gives -0.1714 hartree per atom. The formation enthalpy at 0 K comes out at 0.26 eV/atom. As for the density of states at the Fermi level: 17.407 states/eV/f.u.

The structure in CIF format:
```
data_Tb5Ho4Sc2
_chemical_formula_sum 'Tb10 Ho8 Sc4'
_symmetry_space_group_name_H-M 'I m m m'
_symmetry_Int_Tables_number 71
_symmetry_space_group_name_Hall '-I 2 2'
_cell_length_a 3.442
_cell_length_b 9.022
_cell_length_c 22.512
_cell_angle_alpha 90.00
_cell_angle_beta 90.00
_cell_angle_gamma 90.00
loop_
_atom_site_label
_atom_site_fract_x
_atom_site_fract_y
_atom_site_fract_z
Tb1 0.000 0.000 0.000
Tb2 0.000 0.297 0.349
Ho1 0.000 0.191 0.500
Ho2 0.000 0.500 0.099
Sc1 0.000 0.500 0.230
```

***

Entry 2:
## Ac6AgAu (PBE)

Data for a geometry-optimized Ac6AgAu structure.

Its crystal system is tetragonal. For the calculated density, the calculation gives 9.15 g cm⁻³. For the uncorrected energy, the calculation gives -0.1502 hartree per atom. The formation enthalpy at 0 K comes out at -0.24 eV/atom. As for the density of states at the Fermi level: 11.017 states/eV/f.u.

The structure in CIF format:
```
data_Ac6AgAu
_chemical_formula_sum 'Ac12 Ag2 Au2'
_symmetry_space_group_name_H-M 'I 4/m m m'
_symmetry_Int_Tables_number 139
_symmetry_space_group_name_Hall '-I 4 2'
_cell_length_a 5.597
_cell_length_b 5.597
_cell_length_c 19.322
_cell_angle_alpha 90.00
_cell_angle_beta 90.00
_cell_angle_gamma 90.00
loop_
_atom_site_label
_atom_site_fract_x
_atom_site_fract_y
_atom_site_fract_z
Ac1 0.000 0.000 0.250
Ac2 0.000 0.500 0.100
Ag1 0.000 0.000 0.000
Au1 0.000 0.000 0.500
```

***

Entry 3:
## B3OsAu (PBE)

Data for a geometry-optimized B3OsAu structure.

The calculation puts the energy above the most stable polymorph in this dataset at 1259 meV/atom. Its crystal system is cubic. For the calculated density, the calculation gives 10.11 g cm⁻³. For the uncorrected energy, the calculation gives -0.1675 hartree per atom. The formation enthalpy at 0 K comes out at 2.35 eV/atom. As for the density of states at the Fermi level: 3.948 states/eV/f.u.

The structure in CIF format:
```
data_B3OsAu
_chemical_formula_sum 'B3 Os1 Au1'
_symmetry_space_group_name_H-M 'P m -3 m'
_symmetry_Int_Tables_number 221
_symmetry_space_group_name_Hall '-P 4 2 3'
_cell_length_a 4.100
_cell_length_b 4.100
_cell_length_c 4.100
_cell_angle_alpha 90.00
_cell_angle_beta 90.00
_cell_angle_gamma 90.00
loop_
_atom_site_label
_atom_site_fract_x
_atom_site_fract_y
_atom_site_fract_z
B1 0.000 0.000 0.500
Os1 0.500 0.500 0.500
Au1 0.000 0.000 0.000
```

***

Entry 4:
## Tb4CeTm3S8 (PBE)

Data for a geometry-optimized Tb4CeTm3S8 structure.

Its crystal system is trigonal. For the calculated density, the calculation gives 7.58 g cm⁻³. For the uncorrected energy, the calculation gives -0.2357 hartree per atom. As for the raw formation energy: -1.984 eV per atom. As for the density of states at the Fermi level: 10.181 states/eV/f.u.

The structure in CIF format:
```
data_Tb4CeTm3S8
_chemical_formula_sum 'Tb12 Ce3 Tm9 S24'
_symmetry_space_group_name_H-M 'R -3 m'
_symmetry_Int_Tables_number 166
_symmetry_space_group_name_Hall '-R 3 2"'
_cell_length_a 7.8170
_cell_length_b 7.8170
_cell_length_c 19.1204
_cell_angle_alpha 90.00
_cell_angle_beta 90.00
_cell_angle_gamma 120.00
loop_
_atom_site_label
_atom_site_fract_x
_atom_site_fract_y
_atom_site_fract_z
Tb1 0.0000 0.0000 0.0000
Tb2 0.0000 0.5000 0.0000
Ce1 0.0000 0.0000 0.5000
Tm1 0.0000 0.5000 0.5000
S1 0.0000 0.0000 0.2472
S2 0.0068 0.5034 0.7511
```

***

Entry 5:
## CaScAs (PBE)

Data for a geometry-optimized CaScAs structure.

Its crystal system is cubic. For the calculated density, the calculation gives 3.57 g cm⁻³. For the uncorrected energy, the calculation gives -0.1849 hartree per atom. The formation enthalpy at 0 K comes out at -0.70 eV/atom. As for the density of states at the Fermi level: 3.424 states/eV/f.u.

The structure in CIF format:
```
data_CaScAs
_chemical_formula_sum 'Ca4 Sc4 As4'
_symmetry_space_group_name_H-M 'F -4 3 m'
_symmetry_Int_Tables_number 216
_symmetry_space_group_name_Hall 'F -4 2 3'
_cell_length_a 6.673
_cell_length_b 6.673
_cell_length_c 6.673
_cell_angle_alpha 90.00
_cell_angle_beta 90.00
_cell_angle_gamma 90.00
loop_
_atom_site_label
_atom_site_fract_x
_atom_site_fract_y
_atom_site_fract_z
Ca1 0.000 0.000 0.000
Sc1 0.000 0.000 0.500
As1 0.250 0.250 0.250
```

***

Entry 6:
## MgZn6Cu6 (PBE)

Data for a geometry-optimized MgZn6Cu6 structure.

The calculation puts the energy above the most stable polymorph in this dataset at 83 meV/atom. Its crystal system is hexagonal. For the calculated density, the calculation gives 7.22 g cm⁻³. For the uncorrected energy, the calculation gives -0.0962 hartree per atom. The formation enthalpy at 0 K comes out at -0.02 eV/atom. As for the density of states at the Fermi level: 3.539 states/eV/f.u.

The structure in CIF format:
```
data_MgZn6Cu6
_chemical_formula_sum 'Mg1 Zn6 Cu6'
_symmetry_space_group_name_H-M 'P 6/m m m'
_symmetry_Int_Tables_number 191
_symmetry_space_group_name_Hall '-P 6 2'
_cell_length_a 4.9810
_cell_length_b 4.9810
_cell_length_c 8.5446
_cell_angle_alpha 90.00
_cell_angle_beta 90.00
_cell_angle_gamma 120.00
loop_
_atom_site_label
_atom_site_fract_x
_atom_site_fract_y
_atom_site_fract_z
Mg1 0.0000 0.0000 0.0000
Zn1 0.0000 0.5000 0.2481
Cu1 0.0000 0.0000 0.3587
Cu2 0.3333 0.6667 0.0000
Cu3 0.3333 0.6667 0.5000
```

***

Entry 7:
## KTiN2O (PBE)

Data for a geometry-optimized KTiN2O structure.

Its crystal system is tetragonal. For the calculated density, the calculation gives 3.11 g cm⁻³. For the uncorrected energy, the calculation gives -0.1469 hartree per atom. As for the raw formation energy: 2.122 eV per atom. As for the density of states at the Fermi level: 2.360 states/eV/f.u.

The structure in CIF format:
```
data_KTiN2O
_chemical_formula_sum 'K1 Ti1 N2 O1'
_symmetry_space_group_name_H-M 'P 4/m m m'
_symmetry_Int_Tables_number 123
_symmetry_space_group_name_Hall '-P 4 2'
_cell_length_a 4.137
_cell_length_b 4.137
_cell_length_c 4.082
_cell_angle_alpha 90.00
_cell_angle_beta 90.00
_cell_angle_gamma 90.00
loop_
_atom_site_label
_atom_site_fract_x
_atom_site_fract_y
_atom_site_fract_z
K1 0.000 0.000 0.000
Ti1 0.500 0.500 0.500
N1 0.000 0.500 0.000
O1 0.000 0.000 0.500
```

***

Entry 8:
## Pr5YPb6 (PBE)

Data for a geometry-optimized Pr5YPb6 structure.

The calculation puts the energy above the most stable polymorph in this dataset at 0 meV/atom. Its crystal system is monoclinic. For the calculated density, the calculation gives 9.29 g cm⁻³. For the uncorrected energy, the calculation gives -0.1799 hartree per atom. The formation enthalpy at 0 K comes out at -0.51 eV/atom. As for the density of states at the Fermi level: 11.759 states/eV/f.u.

The structure in CIF format:
```
data_Pr5YPb6
_chemical_formula_sum 'Pr10 Y2 Pb12'
_symmetry_space_group_name_H-M 'C 1 2/m 1'
_symmetry_Int_Tables_number 12
_cell_length_a 16.255
_cell_length_b 9.253
_cell_length_c 5.090
_cell_angle_alpha 90.00
_cell_angle_beta 108.03
_cell_angle_gamma 90.00
loop_
_symmetry_equiv_pos_as_xyz
'x,y,z'
'-x,-y,-z'
'-x,y,-z'
'x,-y,z'
'x+1/2,y+1/2,z'
'-x+1/2,-y+1/2,-z'
'-x+1/2,y+1/2,-z'
'x+1/2,-y+1/2,z'
loop_
_atom_site_label
_atom_site_fract_x
_atom_site_fract_y
_atom_site_fract_z
Pr1 0.000 0.000 0.000
Pr2 0.165 0.500 0.666
Pr3 0.166 0.000 0.667
Y1 0.000 0.500 0.000
Pb1 0.000 0.254 0.500
Pb2 0.165 0.252 0.165
```